# 1
VASP calculation (PBE-GGA) on a relaxed structure of Cd2InFe.

Properties
Total moment   2.269 μB per cell
Calculated formation energy   24.47 kJ per mole of atoms
Space group   Cm

Geometry as POSCAR:
```
Cd2InFe
1.0
5.5739 0.0236 -0.0109
4.7341 2.9422 -0.0109
2.3750 0.6834 4.8189
Cd In Fe
2 1 1
Cartesian
9.8941 2.8468 3.8199
2.3013 0.6621 4.6023
3.1408 0.9037 1.6711
6.0634 1.7446 1.9213
```

***

# 2
VASP calculation (PBE-GGA) on a relaxed structure of CdIn2Fe.

Properties
Total moment   2.631 μB per cell
Calculated formation energy   29.99 kJ per mole of atoms
Space group   C2/m

Geometry as POSCAR:
```
CdIn2Fe
1.0
-1.7641 0.7240 4.6597
1.2897 0.2278 4.8615
0.8590 5.6052 0.7836
In Cd Fe
2 1 1
Cartesian
0.1640 3.1525 5.2706
-0.4461 1.0779 9.4029
0.2885 4.9178 7.7286
0.0962 1.6393 2.5762
```

***

# 3
VASP calculation (PBE-GGA) on a relaxed structure of CdInFe.

Properties
Total moment   2.574 μB per cell
Calculated formation energy   28.53 kJ per mole of atoms
Space group   I4mm

Geometry as POSCAR:
```
CdInFe
1.0
6.8086 0.0204 -0.0212
6.1575 2.9052 -0.0022
0.6511 0.1268 2.8820
Fe Cd In
1 1 1
Cartesian
4.7577 1.0601 1.9132
12.7523 2.8770 0.0271
9.0731 2.0409 0.8951
```

***

# 4
VASP calculation (PBE-GGA) on a relaxed structure of KCdIn2Fe.

Properties
Total moment   0.570 μB per cell
Calculated formation energy   8.37 kJ per mole of atoms
Space group   P4/mmm

Geometry as POSCAR:
```
KCdIn2Fe
1.0
-1.8370 4.2182 -2.0839
-2.5043 1.0172 4.2666
4.1209 2.6745 1.7811
Cd Fe K In
1 1 1 2
Cartesian
2.0604 1.3373 0.8906
0.0000 0.0000 0.0000
-0.1102 3.9550 1.9819
-1.2522 0.5086 2.1333
-0.9185 2.1091 -1.0420
```

***

# 5
VASP calculation (PBE-GGA) on a relaxed structure of La2CdInFe.

Properties
Total moment   0.015 μB per cell
Calculated formation energy   -19.58 kJ per mole of atoms
Space group   P4/mmm

Geometry as POSCAR:
```
La2CdInFe
1.0
-0.8816 4.7381 1.8960
-4.5672 -1.5910 1.8523
2.2531 -1.3425 4.4024
La In Cd Fe
2 1 1 1
Cartesian
-0.4408 2.3691 0.9480
-2.2836 -0.7955 0.9262
1.1266 -0.6712 2.2012
-1.5978 0.9023 4.0754
0.0000 0.0000 0.0000
```

***

# 6
VASP calculation (PBE-GGA) on a relaxed structure of Cd2InFeP.

Properties
Total moment   3.268 μB per cell
Calculated formation energy   83.72 kJ per mole of atoms
Space group   P4/mmm

Geometry as POSCAR:
```
Cd2InFeP
1.0
5.0368 0.0000 0.0000
0.0000 5.3154 0.0000
0.0000 0.0000 5.0368
Fe Cd In P
1 2 1 1
Cartesian
2.5184 2.6577 2.5184
2.5184 0.0000 0.0000
0.0000 0.0000 2.5184
0.0000 2.6577 0.0000
0.0000 0.0000 0.0000
```

***

# 7
VASP calculation (PBE-GGA) on a relaxed structure of CdInFeSn2.

Properties
Total moment   1.139 μB per cell
Calculated formation energy   17.09 kJ per mole of atoms
Space group   P4/mmm
Distance to the lowest polymorph of the same formula   45 meV/atom

Geometry as POSCAR:
```
CdInFeSn2
1.0
-1.5876 0.6496 -4.6232
-1.8961 -4.5520 0.0115
-4.4989 1.8785 1.8089
Fe In Sn Cd
1 1 2 1
Cartesian
0.0000 0.0000 0.0000
-3.9913 -1.0119 -1.4014
-0.9481 -2.2760 0.0058
-0.7938 0.3248 -2.3116
-2.2494 0.9393 0.9045
```

***

# 8
VASP calculation (PBE-GGA) on a relaxed structure of CdInFeSn2.

Properties
Total moment   1.012 μB per cell
Calculated formation energy   12.80 kJ per mole of atoms
Space group   P4/mmm
Distance to the lowest polymorph of the same formula   0 meV/atom

Geometry as POSCAR:
```
CdInFeSn2
1.0
-0.4639 4.8108 -1.1277
-4.8343 -0.6762 -0.8959
-1.0477 1.0401 4.8682
Fe Sn Cd In
1 2 1 1
Cartesian
0.0000 0.0000 0.0000
-2.4172 -0.3381 -0.4480
-0.2320 2.4054 -0.5638
-3.1730 2.5874 1.4223
-0.5238 0.5201 2.4341
```

***

# 9
VASP calculation (PBE-GGA) on a relaxed structure of TiCd2InFe.

Properties
Total moment   1.867 μB per cell
Calculated formation energy   121.98 kJ per mole of atoms
Space group   P4/mmm

Geometry as POSCAR:
```
TiCd2InFe
1.0
5.0894 0.0000 0.0000
0.0000 5.1828 0.0000
0.0000 0.0000 5.0894
Ti Cd In Fe
1 2 1 1
Cartesian
0.0000 2.5914 0.0000
0.0000 0.0000 2.5447
2.5447 0.0000 0.0000
0.0000 0.0000 0.0000
2.5447 2.5914 2.5447
```

***

# 10
VASP calculation (PBE-GGA) on a relaxed structure of CdFe2Ir.

Properties
Total moment   5.745 μB per cell
Calculated formation energy   21.75 kJ per mole of atoms
Space group   Pm

Geometry as POSCAR:
```
CdFe2Ir
1.0
-1.6770 -3.1168 2.0143
1.8704 -1.6956 -1.0664
4.2138 -0.0053 3.5000
Fe Ir Cd
2 1 1
Cartesian
0.2245 -0.1292 -0.0130
0.5682 -1.8643 1.7049
2.8374 -0.8070 1.1136
3.8192 -2.8677 2.8590
```

***

# 11
VASP calculation (PBE-GGA) on a relaxed structure of Cd2FeIr.

Properties
Total moment   2.673 μB per cell
Calculated formation energy   34.43 kJ per mole of atoms
Space group   Cmmm
Distance to the lowest polymorph of the same formula   254 meV/atom

Geometry as POSCAR:
```
Cd2FeIr
1.0
-2.2832 -0.5534 1.5502
2.4738 -0.4907 1.2497
0.0909 8.7818 3.2687
Cd Ir Fe
2 1 1
Cartesian
0.0451 4.3583 1.6222
0.0003 0.0326 0.0121
0.1635 6.0643 3.8515
0.1180 1.6734 2.2171
```

***

# 12
VASP calculation (PBE-GGA) on a relaxed structure of CdFe2Ir.

Properties
Total moment   5.701 μB per cell
Calculated formation energy   22.17 kJ per mole of atoms
Space group   Cmm2

Geometry as POSCAR:
```
CdFe2Ir
1.0
2.7132 0.0032 0.0000
-1.1431 2.4607 0.0000
0.0000 0.0000 8.8512
Fe Ir Cd
2 1 1
Cartesian
0.0000 0.0000 0.2339
0.7851 1.2319 2.1269
0.0000 0.0000 4.2114
0.7851 1.2319 6.7047
```

***

# 13
VASP calculation (PBE-GGA) on a relaxed structure of CdFe2Ir.

Properties
Total moment   6.162 μB per cell
Calculated formation energy   23.28 kJ per mole of atoms
Space group   I-4m2

Geometry as POSCAR:
```
CdFe2Ir
1.0
-0.7669 -1.1078 -4.5691
-3.4959 -3.2225 -0.2943
0.2815 4.1884 2.2517
Cd Fe Ir
1 2 1
Cartesian
-1.3084 0.4578 -2.3746
0.0000 0.0000 0.0000
-2.6729 -0.5996 -0.2372
-2.1314 -2.1651 -2.4317
```

***

# 14
VASP calculation (PBE-GGA) on a relaxed structure of CdFe2Ir.

Properties
Total moment   6.345 μB per cell
Calculated formation energy   20.49 kJ per mole of atoms
Space group   P4/mmm

Geometry as POSCAR:
```
CdFe2Ir
1.0
3.9043 0.0000 0.0000
0.0000 3.9043 0.0000
0.0000 0.0000 3.8578
Fe Cd Ir
2 1 1
Cartesian
1.9522 1.9522 0.0000
0.0000 0.0000 0.0000
0.0000 1.9522 1.9289
1.9522 0.0000 1.9289
```

***

# 15
VASP calculation (PBE-GGA) on a relaxed structure of CdFe2Ir.

Properties
Total moment   0.006 μB per cell
Calculated formation energy   84.46 kJ per mole of atoms
Space group   I-42d

Geometry as POSCAR:
```
CdFe2Ir
1.0
6.8850 0.0000 0.0000
0.0000 6.8850 0.0000
3.4425 3.4425 2.6493
Fe Cd Ir
4 2 2
Cartesian
1.4019 5.1637 0.6623
5.1637 4.8444 1.9870
8.6062 8.9256 1.9870
5.4831 1.7212 0.6623
3.4425 6.8850 1.3246
3.4425 3.4425 0.0000
6.8850 3.4425 1.3246
0.0000 0.0000 0.0000
```

***

Number 1: DOS at the Fermi energy 1.45 states/eV/cell, density 8.36 Mg/m³. Number 2: DOS at the Fermi energy 2.51 states/eV/cell, density 7.98 Mg/m³. Number 3: DOS at the Fermi energy 2.12 states/eV/cell, density 8.29 Mg/m³. Number 4: DOS at the Fermi energy 3.12 states/eV/cell, density 5.44 Mg/m³. Number 5: DOS at the Fermi energy 4.96 states/eV/cell, density 6.78 Mg/m³. Number 6: DOS at the Fermi energy 4.30 states/eV/cell, density 5.25 Mg/m³. Number 7: DOS at the Fermi energy 2.62 states/eV/cell, density 6.84 Mg/m³. Number 8: DOS at the Fermi energy 2.10 states/eV/cell, density 6.90 Mg/m³. Number 9: DOS at the Fermi energy 4.34 states/eV/cell, density 5.48 Mg/m³. Number 10: DOS at the Fermi energy 3.83 states/eV/cell, density 11.77 Mg/m³. Number 11: DOS at the Fermi energy 4.10 states/eV/cell, density 11.74 Mg/m³. Number 12: DOS at the Fermi energy 3.40 states/eV/cell, density 11.69 Mg/m³. Number 13: DOS at the Fermi energy 4.05 states/eV/cell, density 11.77 Mg/m³. Number 14: DOS at the Fermi energy 2.55 states/eV/cell, density 11.76 Mg/m³. Number 15: DOS at the Fermi energy 18.48 states/eV/cell, density 11.01 Mg/m³.